Material: Sr3TiP
Method: DFT, GGA-PBEsol
State: optimized geometry

Cell and atoms, written as extended XYZ:
```
5
Lattice="5.658 0.000 0.000 0.000 5.658 0.000 0.000 0.000 5.658" Properties=species:S:1:pos:R:3 pbc="T T T"
Sr 0.000 0.000 2.829
Sr 0.000 2.829 0.000
Sr 2.829 0.000 0.000
Ti 0.000 0.000 0.000
P 2.829 2.829 2.829
```

Results
* M_tot: 3.7 μB/f.u.
* ΔE_f: 4.410 eV/f.u.
* space group: Pm-3m

=====

Material: SrTiPW2
Method: DFT, GGA-PBEsol
State: optimized geometry

Cell and atoms, written as extended XYZ:
```
5
Lattice="4.727 0.000 0.000 0.000 4.727 0.000 0.000 0.000 4.925" Properties=species:S:1:pos:R:3 pbc="T T T"
Sr 0.000 0.000 0.000
Ti 2.364 2.364 2.462
P 0.000 0.000 2.462
W 0.000 2.364 0.000
W 2.364 0.000 0.000
```

Results
* M_tot: 0.0 μB/f.u.
* ΔE_f: 15.534 eV/f.u.
* space group: P4/mmm

=====

Material: SrTl2P
Method: DFT, GGA-PBEsol
State: optimized geometry

Cell and atoms, written as extended XYZ:
```
4
Lattice="3.817 0.000 0.000 0.000 3.817 0.000 0.000 0.000 7.013" Properties=species:S:1:pos:R:3 pbc="T T T"
Sr 0.000 0.000 0.000
Tl 1.908 1.908 2.065
Tl 1.908 1.908 4.947
P 0.000 0.000 3.506
```

Results
* excess energy over the best structure of this formula in the dataset: 27.6 kJ per mole of atoms
* M_tot: 0.0 μB/f.u.
* ΔE_f: -0.502 eV/f.u.
* space group: P4/mmm

=====

Material: SrTl2P
Method: DFT, GGA-PBEsol
State: optimized geometry

Cell and atoms, written as extended XYZ:
```
4
Lattice="4.021 0.000 0.000 0.000 2.296 5.946 0.000 -2.296 5.946" Properties=species:S:1:pos:R:3 pbc="T T T"
Sr 0.000 0.000 0.000
Tl 0.000 0.000 8.516
Tl 2.011 0.000 3.614
P 2.011 0.000 6.463
```

Results
* excess energy over the best structure of this formula in the dataset: 0.0 kJ per mole of atoms
* M_tot: 0.0 μB/f.u.
* ΔE_f: -1.648 eV/f.u.
* space group: Amm2

=====

Material: SrTlP2
Method: DFT, GGA-PBEsol
State: optimized geometry

Cell and atoms, written as extended XYZ:
```
4
Lattice="2.074 1.197 6.595 -2.074 1.197 6.595 0.000 -2.395 6.595" Properties=species:S:1:pos:R:3 pbc="T T T"
Sr 0.000 0.000 0.000
Tl 0.000 0.000 9.893
P 0.000 0.000 4.755
P 0.000 0.000 15.031
```

Results
* M_tot: 0.0 μB/f.u.
* ΔE_f: -0.432 eV/f.u.
* space group: R-3m

=====

Material: SrTl4P
Method: DFT, GGA-PBEsol
State: optimized geometry

Cell and atoms, written as extended XYZ:
```
6
Lattice="0.000 4.394 4.394 4.394 0.000 4.394 4.394 4.394 0.000" Properties=species:S:1:pos:R:3 pbc="T T T"
Sr 0.000 0.000 0.000
Tl 5.486 3.302 3.302
Tl 3.302 5.486 3.302
Tl 3.302 3.302 5.486
Tl 5.486 5.486 5.486
P 2.197 2.197 2.197
```

Results
* M_tot: 0.0 μB/f.u.
* ΔE_f: 0.656 eV/f.u.
* space group: F-43m

=====

Material: Sr2PW
Method: DFT, GGA-PBEsol
State: optimized geometry

Cell and atoms, written as extended XYZ:
```
4
Lattice="-2.268 2.268 4.507 2.268 -2.268 4.507 2.268 2.268 -4.507" Properties=species:S:1:pos:R:3 pbc="T T T"
Sr 2.268 0.000 2.253
Sr 0.000 2.268 2.253
P 0.000 0.000 0.000
W 0.000 0.000 4.507
```

Results
* M_tot: 2.5 μB/f.u.
* ΔE_f: 3.259 eV/f.u.
* space group: I4/mmm

=====

Material: Sr2PW
Method: DFT, GGA-PBEsol
State: optimized geometry

Cell and atoms, written as extended XYZ:
```
4
Lattice="5.858 -1.753 0.000 5.858 1.753 0.000 -2.245 0.000 4.912" Properties=species:S:1:pos:R:3 pbc="T T T"
Sr 0.000 0.000 0.000
Sr 0.675 0.000 3.280
P 4.208 0.000 2.269
W 8.803 0.000 1.408
```

Results
* M_tot: 0.0 μB/f.u.
* ΔE_f: 0.663 eV/f.u.
* space group: Cm

=====

Material: SrYP
Method: DFT, GGA-PBEsol
State: optimized geometry

Cell and atoms, written as extended XYZ:
```
3
Lattice="-1.810 1.810 6.520 1.810 -1.810 6.520 1.810 1.810 -6.520" Properties=species:S:1:pos:R:3 pbc="T T T"
Sr 0.000 0.000 0.000
Y 0.000 0.000 9.789
P 0.000 0.000 4.483
```

Results
* M_tot: 0.0 μB/f.u.
* ΔE_f: -2.305 eV/f.u.
* space group: I4mm

=====

Material: SrY4P
Method: DFT, GGA-PBEsol
State: optimized geometry

Cell and atoms, written as extended XYZ:
```
6
Lattice="0.000 4.559 4.559 4.559 0.000 4.559 4.559 4.559 0.000" Properties=species:S:1:pos:R:3 pbc="T T T"
Sr 0.000 0.000 0.000
Y 5.697 3.420 3.420
Y 3.420 5.697 3.420
Y 3.420 3.420 5.697
Y 5.697 5.697 5.697
P 2.279 2.279 2.279
```

Results
* M_tot: 0.0 μB/f.u.
* ΔE_f: 2.666 eV/f.u.
* space group: F-43m

=====

Material: SrYZn2P
Method: DFT, GGA-PBEsol
State: optimized geometry

Cell and atoms, written as extended XYZ:
```
5
Lattice="5.130 0.000 0.000 0.000 5.130 0.000 0.000 0.000 5.305" Properties=species:S:1:pos:R:3 pbc="T T T"
Sr 0.000 0.000 0.000
Y 2.565 2.565 2.652
Zn 0.000 2.565 0.000
Zn 2.565 0.000 0.000
P 0.000 0.000 2.652
```

Results
* M_tot: 0.0 μB/f.u.
* ΔE_f: 3.053 eV/f.u.
* space group: P4/mmm

=====

Material: SrZn2P
Method: DFT, GGA-PBEsol
State: optimized geometry

Cell and atoms, written as extended XYZ:
```
4
Lattice="3.467 0.000 0.000 0.000 3.518 0.000 0.000 0.000 6.559" Properties=species:S:1:pos:R:3 pbc="T T T"
Sr 0.000 0.000 0.000
Zn 0.000 0.000 3.471
Zn 1.734 1.759 2.218
P 1.734 1.759 4.612
```

Results
* M_tot: 0.0 μB/f.u.
* ΔE_f: -0.782 eV/f.u.
* space group: Pmm2

=====

Material: SrZnP2
Method: DFT, GGA-PBEsol
State: optimized geometry

Cell and atoms, written as extended XYZ:
```
16
Lattice="21.415 0.000 0.000 0.000 3.832 0.000 0.000 0.000 3.964" Properties=species:S:1:pos:R:3 pbc="T T T"
Sr 2.370 0.958 0.765
Sr 8.337 2.874 2.747
Sr 13.078 0.958 1.217
Sr 19.045 2.874 3.199
Zn 5.362 0.958 2.738
Zn 5.346 2.874 0.756
Zn 16.069 0.958 3.208
Zn 16.053 2.874 1.226
P 0.052 0.958 2.679
P 3.868 2.874 2.737
P 6.839 0.958 0.755
P 10.655 2.874 0.698
P 10.760 0.958 3.266
P 14.576 2.874 3.208
P 17.547 0.958 1.226
P 21.363 2.874 1.284
```

Results
* M_tot: 0.0 μB/f.u.
* ΔE_f: -2.726 eV/f.u.
* space group: Pnma

=====

Material: SrZnP2
Method: DFT, GGA-PBEsol
State: optimized geometry

Cell and atoms, written as extended XYZ:
```
4
Lattice="0.000 3.402 3.402 3.402 0.000 3.402 3.402 3.402 0.000" Properties=species:S:1:pos:R:3 pbc="T T T"
Sr 0.000 0.000 0.000
Zn 5.103 5.103 5.103
P 1.701 1.701 1.701
P 3.402 3.402 3.402
```

Results
* M_tot: 0.0 μB/f.u.
* ΔE_f: 0.369 eV/f.u.
* space group: F-43m

=====

Material: SrZn2P2
Method: DFT, GGA-PBEsol
State: optimized geometry

Cell and atoms, written as extended XYZ:
```
5
Lattice="4.047 0.000 0.000 -2.023 3.504 0.000 0.000 0.000 7.020" Properties=species:S:1:pos:R:3 pbc="T T T"
Sr 0.000 0.000 0.000
Zn 0.000 2.336 4.422
Zn 2.023 1.168 2.598
P 0.000 2.336 1.925
P 2.023 1.168 5.095
```

Results
* M_tot: 0.0 μB/f.u.
* ΔE_f: -3.457 eV/f.u.
* space group: P-3m1

=====

Material: SrZnP3
Method: DFT, GGA-PBEsol
State: optimized geometry

Cell and atoms, written as extended XYZ:
```
5
Lattice="5.333 0.000 0.000 0.000 5.333 0.000 0.000 0.000 5.333" Properties=species:S:1:pos:R:3 pbc="T T T"
Sr 0.000 0.000 0.000
Zn 2.667 2.667 2.667
P 0.000 0.000 2.667
P 0.000 2.667 0.000
P 2.667 0.000 0.000
```

Results
* M_tot: 0.0 μB/f.u.
* ΔE_f: 7.398 eV/f.u.
* space group: Pm-3m

=====

Material: Sr2ZrP
Method: DFT, GGA-PBEsol
State: optimized geometry

Cell and atoms, written as extended XYZ:
```
4
Lattice="3.452 0.000 0.000 0.000 3.452 0.000 0.000 0.000 9.609" Properties=species:S:1:pos:R:3 pbc="T T T"
Sr 0.000 0.000 1.856
Sr 0.000 0.000 7.753
Zr 1.726 1.726 4.804
P 1.726 1.726 0.000
```

Results
* M_tot: 1.6 μB/f.u.
* ΔE_f: -0.056 eV/f.u.
* space group: P4/mmm

=====

Material: SrZrP2
Method: DFT, GGA-PBEsol
State: optimized geometry

Cell and atoms, written as extended XYZ:
```
4
Lattice="1.936 1.118 6.824 -1.936 1.118 6.824 0.000 -2.236 6.824" Properties=species:S:1:pos:R:3 pbc="T T T"
Sr 0.000 0.000 0.000
Zr 0.000 0.000 10.237
P 0.000 0.000 4.859
P 0.000 0.000 15.614
```

Results
* M_tot: 0.0 μB/f.u.
* ΔE_f: -4.953 eV/f.u.
* space group: R-3m

=====

Material: Sr2ZrP
Method: DFT, GGA-PBEsol
State: optimized geometry

Cell and atoms, written as extended XYZ:
```
4
Lattice="4.480 0.000 0.000 0.000 4.480 0.000 0.000 0.000 4.844" Properties=species:S:1:pos:R:3 pbc="T T T"
Sr 0.000 2.240 0.000
Sr 2.240 0.000 0.000
Zr 0.000 0.000 2.422
P 2.240 2.240 2.422
```

Results
* M_tot: 0.0 μB/f.u.
* ΔE_f: 0.421 eV/f.u.
* space group: P4/mmm

=====

Material: SrZr2P
Method: DFT, GGA-PBEsol
State: optimized geometry

Cell and atoms, written as extended XYZ:
```
4
Lattice="4.381 0.000 0.000 0.000 4.381 0.000 0.000 0.000 4.306" Properties=species:S:1:pos:R:3 pbc="T T T"
Sr 0.000 0.000 0.000
Zr 0.000 2.190 2.153
Zr 2.190 0.000 2.153
P 2.190 2.190 0.000
```

Results
* M_tot: 0.0 μB/f.u.
* ΔE_f: 0.094 eV/f.u.
* space group: P4/mmm

=====

Material: Ta3P
Method: DFT, GGA-PBEsol
State: optimized geometry

Cell and atoms, written as extended XYZ:
```
4
Lattice="4.323 0.000 0.000 0.000 4.323 0.000 0.000 0.000 3.431" Properties=species:S:1:pos:R:3 pbc="T T T"
Ta 0.000 0.000 0.000
Ta 0.000 2.162 1.715
Ta 2.162 0.000 1.715
P 2.162 2.162 0.000
```

Results
* M_tot: 0.0 μB/f.u.
* ΔE_f: -0.758 eV/f.u.
* space group: P4/mmm

=====

Material: Ta3P
Method: DFT, GGA-PBEsol
State: optimized geometry

Cell and atoms, written as extended XYZ:
```
4
Lattice="3.047 0.000 0.000 -1.523 2.638 0.000 0.000 0.000 8.378" Properties=species:S:1:pos:R:3 pbc="T T T"
Ta 0.000 0.000 0.000
Ta 0.000 1.759 2.420
Ta 0.000 1.759 5.958
P 0.000 0.000 4.189
```

Results
* M_tot: 0.0 μB/f.u.
* ΔE_f: -0.818 eV/f.u.
* space group: P-6m2

=====

Material: Ta3P
Method: DFT, GGA-PBEsol
State: optimized geometry

Cell and atoms, written as extended XYZ:
```
4
Lattice="2.905 0.000 0.000 0.000 4.498 0.000 -0.069 0.000 5.079" Properties=species:S:1:pos:R:3 pbc="T T T"
Ta 0.000 0.000 0.000
Ta 0.889 2.249 3.800
Ta 1.947 2.249 1.279
P 1.418 0.000 2.539
```

Results
* M_tot: 0.0 μB/f.u.
* ΔE_f: -0.303 eV/f.u.
* space group: P2/m

=====

Material: TaP2
Method: DFT, GGA-PBEsol
State: optimized geometry

Cell and atoms, written as extended XYZ:
```
6
Lattice="5.445 0.000 0.000 0.000 6.173 0.000 0.000 0.000 3.135" Properties=species:S:1:pos:R:3 pbc="T T T"
Ta 0.000 0.000 0.000
Ta 2.723 3.086 1.567
P 0.898 2.416 0.000
P 1.825 5.502 1.567
P 3.620 0.670 1.567
P 4.547 3.756 0.000
```

Results
* M_tot: 0.0 μB/f.u.
* ΔE_f: -0.587 eV/f.u.
* space group: Pnnm

=====

Material: Ta3P
Method: DFT, GGA-PBEsol
State: optimized geometry

Cell and atoms, written as extended XYZ:
```
32
Lattice="10.087 0.000 0.000 0.000 10.087 0.000 0.000 0.000 5.016" Properties=species:S:1:pos:R:3 pbc="T T T"
Ta 0.417 5.607 1.225
Ta 0.564 9.670 3.733
Ta 1.052 2.442 0.052
Ta 1.552 6.668 3.689
Ta 1.625 8.535 1.181
Ta 2.442 3.991 2.456
Ta 2.602 1.052 2.456
Ta 3.419 6.596 1.181
Ta 3.491 8.462 3.689
Ta 3.991 2.602 0.052
Ta 4.480 5.461 3.733
Ta 4.626 9.523 1.225
Ta 5.461 0.564 3.791
Ta 5.607 4.626 1.283
Ta 6.096 7.485 4.964
Ta 6.596 1.625 1.326
Ta 6.668 3.491 3.834
Ta 7.485 9.035 2.560
Ta 7.645 6.096 2.560
Ta 8.462 1.552 3.834
Ta 8.535 3.419 1.326
Ta 9.035 7.645 4.964
Ta 9.523 0.417 1.283
Ta 9.670 4.480 3.791
P 0.431 2.361 2.573
P 2.361 4.612 4.950
P 2.682 0.431 4.950
P 4.612 2.682 2.573
P 5.475 7.405 2.442
P 7.405 9.656 0.065
P 7.726 5.475 0.065
P 9.656 7.726 2.442
```

Results
* M_tot: 0.0 μB/f.u.
* ΔE_f: -2.601 eV/f.u.
* space group: P4_2/n

=====

Material: TaP2
Method: DFT, GGA-PBEsol
State: optimized geometry

Cell and atoms, written as extended XYZ:
```
6
Lattice="-1.662 2.370 6.003 1.662 -2.370 6.003 1.662 2.370 -6.003" Properties=species:S:1:pos:R:3 pbc="T T T"
Ta 0.000 0.000 1.496
Ta 0.000 0.000 10.511
P 1.662 1.272 0.000
P 1.662 0.000 3.439
P 0.000 2.370 2.564
P 0.000 1.097 6.003
```

Results
* M_tot: 0.0 μB/f.u.
* ΔE_f: -1.998 eV/f.u.
* space group: Immm

=====

Material: Ta3P
Method: DFT, GGA-PBEsol
State: optimized geometry

Cell and atoms, written as extended XYZ:
```
4
Lattice="-1.915 1.915 4.403 1.915 -1.915 4.403 1.915 1.915 -4.403" Properties=species:S:1:pos:R:3 pbc="T T T"
Ta 0.000 0.000 0.000
Ta 1.915 0.000 2.202
Ta 0.000 1.915 2.202
P 0.000 0.000 4.403
```

Results
* M_tot: 0.0 μB/f.u.
* ΔE_f: -0.354 eV/f.u.
* space group: I4/mmm

=====

no.,E (eV per atom)
1,-3.045
2,-5.607
3,-3.348
4,-3.635
5,-4.121
6,-2.916
7,-5.005
8,-5.654
9,-5.586
10,-5.376
11,-2.913
12,-2.895
13,-4.433
14,-3.659
15,-4.009
16,-2.680
17,-4.654
18,-6.867
19,-4.535
20,-6.429
21,-11.051
22,-11.066
23,-10.937
24,-8.240
25,-11.511
26,-8.711
27,-10.950